Compound: SrSn12Pd4
Source: the Alexandria database
Functional: PBE
Structure: relaxed

```
SrSn12Pd4
1.0
8.2695 0.0000 0.0000
-2.7565 7.7965 0.0000
-2.7565 -3.8983 6.7520
Pd Sn Sr
4 12 1
direct
0.0000 0.5000 0.0000
0.0000 0.0000 0.5000
0.5000 0.0000 0.0000
0.5000 0.5000 0.5000
0.6549 0.4949 0.8400
0.1600 0.3451 0.5051
0.4949 0.8400 0.6549
0.8149 0.1600 0.6549
0.3451 0.1851 0.8400
0.6549 0.8149 0.1600
0.8400 0.6549 0.4949
0.1851 0.8400 0.3451
0.3451 0.5051 0.1600
0.5051 0.1600 0.3451
0.8400 0.3451 0.1851
0.1600 0.6549 0.8149
0.0000 0.0000 0.0000
```

Summary:
**Crystal system**: cubic
**Total moment**: 0.000 Bohr magnetons per cell
**DFT formation energy**: -561 kJ/mol of formula units
**DFT total energy**: -4.488 eV per atom
**Density**: 7.39 Mg/m³

Compound: MgGaHgPb
Source: the Alexandria database
Functional: PBE
Structure: relaxed

```
MgGaHgPb
1.0
5.1688 0.0000 0.0000
2.5844 4.4763 0.0000
2.5844 1.4921 4.2203
Mg Ga Hg Pb
1 1 1 1
direct
0.5000 0.5000 0.5000
0.0000 0.0000 0.0000
0.7500 0.7500 0.7500
0.2500 0.2500 0.2500
```

Summary:
**Crystal system**: cubic
**Total moment**: 0.000 Bohr magnetons per cell
**DFT formation energy**: 16 kJ/mol of formula units
**DFT total energy**: -2.117 eV per atom
**Density**: 8.53 Mg/m³

Compound: ZrAlPt
Source: the Alexandria database
Functional: PBE
Structure: relaxed

```
ZrAlPt
1.0
3.6431 0.0000 0.0000
0.0000 7.1650 0.0000
0.0000 -3.5825 6.2051
Pt Al Zr
3 3 3
direct
0.5000 0.0000 0.0000
0.0000 0.6667 0.3333
0.0000 0.3333 0.6667
0.0000 0.0000 0.2578
0.0000 0.2578 0.0000
0.0000 0.7422 0.7422
0.5000 0.0000 0.5996
0.5000 0.5996 0.0000
0.5000 0.4004 0.4004
```

Summary:
**Crystal system**: hexagonal
**Total moment**: 0.000 Bohr magnetons per cell
**DFT formation energy**: -304 kJ/mol of formula units
**DFT total energy**: -7.162 eV per atom
**Density**: 9.64 Mg/m³

- Which value of total moment does entry 3 give?
  0.000 Bohr magnetons per cell

- Among the records above, which one has the highest DFT total energy?
  MgGaHgPb